# 1
A geometry-optimized HoEr3Al8 structure, computed with PBE-GGA.

E above lowest polymorph in meV per atom: 0

Cell and atoms, written as CIF:
```
data_HoEr3Al8
_chemical_formula_sum 'Ho3 Er9 Al24'
_cell_length_a 5.5234
_cell_length_b 5.5234
_cell_length_c 27.1928
_cell_angle_alpha 90.00
_cell_angle_beta 90.00
_cell_angle_gamma 120.00
_space_group_name_H-M_alt 'R 3 m'
_space_group_IT_number 160
_space_group_name_Hall 'R 3 -2"'
loop_
_atom_site_label
_atom_site_fract_x
_atom_site_fract_y
_atom_site_fract_z
Ho1 0.0000 0.0000 0.0000
Er1 0.0000 0.0000 0.1246
Er2 0.0000 0.0000 0.5001
Er3 0.0000 0.0000 0.6245
Al1 0.0000 0.0000 0.3123
Al2 0.0000 0.0000 0.8123
Al3 0.0000 0.5000 0.0624
Al4 0.9999 0.5000 0.5622
```

# 2
A geometry-optimized ThSiRh structure, computed with PBE-GGA.

Formation energy from raw total energies in eV/atom: -0.9978

Cell and atoms, written as CIF:
```
data_ThSiRh
_chemical_formula_sum 'Th4 Si4 Rh4'
_cell_length_a 4.176
_cell_length_b 4.176
_cell_length_c 14.419
_cell_angle_alpha 90.00
_cell_angle_beta 90.00
_cell_angle_gamma 90.00
_space_group_name_H-M_alt 'I 41 m d'
_space_group_IT_number 109
_space_group_name_Hall 'I 4bw -2'
loop_
_atom_site_label
_atom_site_fract_x
_atom_site_fract_y
_atom_site_fract_z
Th1 0.000 0.000 0.000
Si1 0.000 0.000 0.421
Rh1 0.000 0.000 0.589
```

| no. | D(E_F) (states/eV/atom) |
| --- | --- |
| 1 | 0.84 |
| 2 | 0.71 |